Record 1
HoCdAs (GGA-PBE, optimized geometry); total DFT energy (no corrections) = -3.49 eV/atom; crystal system = cubic; V = 25.98 Å³/atom
1.0
0.0000 3.3905 3.3905
3.3905 0.0000 3.3905
3.3905 3.3905 0.0000
Ho Cd As
1 1 1
direct
0.0000 0.0000 0.0000
0.7500 0.7500 0.7500
0.5000 0.5000 0.5000

Record 2
Hf2Pa (GGA-PBE, optimized geometry); total DFT energy (no corrections) = -6.45 eV/atom; crystal system = cubic; DFT formation energy = 3348 meV per atom; V = 82.06 Å³/atom
1.0
0.0000 6.2674 6.2674
6.2674 0.0000 6.2674
6.2674 6.2674 0.0000
Hf Pa
4 2
direct
0.0000 0.0000 0.0000
0.0000 0.0000 0.5000
0.0000 0.5000 0.0000
0.5000 0.0000 0.0000
0.1250 0.1250 0.1250
0.8750 0.8750 0.8750

Record 3
ZrCo3 (GGA-PBE, optimized geometry); total DFT energy (no corrections) = -7.60 eV/atom; crystal system = hexagonal; DFT formation energy = -131 meV per atom; V = 12.86 Å³/atom
1.0
5.3291 0.0000 0.0000
-2.6645 4.6151 0.0000
0.0000 0.0000 4.1837
Zr Co
2 6
direct
0.3333 0.6667 0.2500
0.6667 0.3333 0.7500
0.1514 0.3027 0.7500
0.1514 0.8486 0.7500
0.3027 0.1514 0.2500
0.6973 0.8486 0.7500
0.8486 0.1514 0.2500
0.8486 0.6973 0.2500

Record 4
PaTe4Au2 (GGA-PBE, optimized geometry); total DFT energy (no corrections) = -4.44 eV/atom; crystal system = monoclinic; V = 29.38 Å³/atom
1.0
4.1272 -5.8376 0.0000
4.1272 5.8376 0.0000
-0.0222 0.0000 4.2680
Pa Te Au
1 4 2
direct
0.0000 0.0000 0.0000
0.2607 0.7393 0.0000
0.2647 0.2647 0.5036
0.7353 0.7353 0.4964
0.7393 0.2607 0.0000
0.0000 0.5000 0.5000
0.5000 0.0000 0.5000

- Look up the V of the second one.
  82.06 Å³/atom